# 1
A relaxed structure of Ho3Ga5, computed with PBE.

It has space group Pnma (No. 62), with a = 11.416 Å, b = 9.631 Å, c = 6.072 Å, α = 90.00°, β = 90.00° and γ = 90.00°. The distinct sites, in fractional coordinates, are Ho at (0.074, 0.250, 0.152), Ho at (0.148, 0.509, 0.610), Ga at (0.005, 0.250, 0.628), Ga at (0.091, 0.553, 0.125), Ga at (0.201, 0.750, 0.897) and Ga at (0.248, 0.750, 0.326).

The value obtained for the raw total energy is -4.26 eV/atom.



# 2
A relaxed structure of Ho2Ga, computed with PBE.

It has space group Fd-3m (No. 227, origin choice 2), with a = 8.692 Å, b = 8.692 Å, c = 8.692 Å, α = 90.00°, β = 90.00° and γ = 90.00°. The distinct sites, in fractional coordinates, are Ho at (0.000, 0.000, 0.000) and Ga at (0.125, 0.125, 0.625).

The value obtained for the raw total energy is -3.74 eV/atom.



# 3
A relaxed structure of HoGa3, computed with PBE.

It has space group P6_3/mmc (No. 194), with a = 6.2500 Å, b = 6.2500 Å, c = 4.5385 Å, α = 90.00°, β = 90.00° and γ = 120.00°. The distinct sites, in fractional coordinates, are Ho at (0.3333, 0.6667, 0.2500) and Ga at (0.1485, 0.2969, 0.7500).

The value obtained for the raw total energy is -3.94 eV/atom.



# 4
A relaxed structure of HoGa2, computed with PBE.

It has space group Fd-3m (No. 227, origin choice 2), with a = 7.752 Å, b = 7.752 Å, c = 7.752 Å, α = 90.00°, β = 90.00° and γ = 90.00°. The distinct sites, in fractional coordinates, are Ho at (0.125, 0.125, 0.125) and Ga at (0.000, 0.000, 0.500).

The value obtained for the raw total energy is -4.10 eV/atom.



# 5
A relaxed structure of Ho5Ga3, computed with PBE.

It has space group P4/ncc (No. 130, origin choice 2), with a = 7.574 Å, b = 7.574 Å, c = 14.104 Å, α = 90.00°, β = 90.00° and γ = 90.00°. The distinct sites, in fractional coordinates, are Ho at (0.071, 0.591, 0.103), Ho at (0.250, 0.250, 0.233), Ga at (0.127, 0.627, 0.750) and Ga at (0.250, 0.250, 0.006).

The value obtained for the raw total energy is -4.49 eV/atom.



# 6
A relaxed structure of HoGa3, computed with PBE.

It has space group Pm-3m (No. 221), with a = 4.254 Å, b = 4.254 Å, c = 4.254 Å, α = 90.00°, β = 90.00° and γ = 90.00°. The distinct sites, in fractional coordinates, are Ho at (0.000, 0.000, 0.000) and Ga at (0.000, 0.500, 0.500).

The value obtained for the raw total energy is -3.94 eV/atom.